# Ac4Sn3H2

A relaxed Ac4Sn3H2 crystal (GGA-PBE, Alexandria).

a b c (Å): 7.2282 9.0048 9.0048
angles (deg): 70.80 78.99 78.99
Last column: nearest neighbours and their distance in Å.
Element x y z (fractional)
Sn1 0.2500 0.5078 0.4922  6 Ac 3.36-3.76, 2 H 3.57, 2 Sn 3.62
Sn2 0.0895 0.9860 0.7652  6 Ac 3.30-3.66, 3 H 3.46-3.69
Sn3 0.4105 0.2348 0.0140  6 Ac 3.30-3.66, 3 H 3.46-3.69
Sn4 0.7500 0.4922 0.5078  6 Ac 3.36-3.76, 2 H 3.57, 2 Sn 3.62
Sn5 0.9105 0.0140 0.2348  6 Ac 3.30-3.66, 3 H 3.46-3.69
Sn6 0.5895 0.7652 0.9860  6 Ac 3.30-3.66, 3 H 3.46-3.69
Ac1 0.9056 0.7667 0.6164  2 H 2.49-2.59
Ac2 0.9670 0.3186 0.8864  2 H 2.55-2.65
Ac3 0.4056 0.6164 0.7667  2 H 2.49-2.59
Ac4 0.5330 0.1136 0.6814  2 H 2.55-2.65
Ac5 0.4670 0.8864 0.3186  2 H 2.55-2.65
Ac6 0.0330 0.6814 0.1136  2 H 2.55-2.65
Ac7 0.5944 0.3836 0.2333  2 H 2.49-2.59
Ac8 0.0944 0.2333 0.3836  2 H 2.49-2.59
H1 0.5634 0.8605 0.5849  4 Ac 2.49-2.65, 1 H 2.57
H2 0.0634 0.5849 0.8605  4 Ac 2.49-2.65, 1 H 2.57
H3 0.4366 0.1395 0.4151  4 Ac 2.49-2.65, 1 H 2.57
H4 0.9366 0.4151 0.1395  4 Ac 2.49-2.65, 1 H 2.57

Output
**Electronic total energy**: -4.488 eV per atom
**Total magnetization**: 0.00 μB/cell
**ρ**: 7815 kg/m3
**SG**: C2/c


# Ac4SnH

A relaxed Ac4SnH crystal (GGA-PBE, Alexandria).

a b c (Å): 6.3155 7.3288 9.9218
angles (deg): 111.67 108.50 90.00
Last column: nearest neighbours and their distance in Å.
Element x y z (fractional)
Ac1 0.6057 0.8631 0.2274  1 H 2.63
Ac2 0.3943 0.1369 0.7726  1 H 2.63
Ac3 0.3943 0.6357 0.7726  1 H 2.63
Ac4 0.8191 0.2943 0.5886  1 H 2.51
Ac5 0.0000 0.7472 0.0000  2 H 2.68
Ac6 0.1809 0.7057 0.4114  1 H 2.51
Ac7 0.6057 0.3643 0.2274  1 H 2.63
Ac8 0.0000 0.2528 0.0000  2 H 2.68
Sn1 0.1950 0.1858 0.3715  12 Ac 3.59-3.95
Sn2 0.8050 0.8142 0.6285  12 Ac 3.59-3.95
H1 0.2897 0.5871 0.1742  5 Ac 2.51-2.68
H2 0.7103 0.4129 0.8258  5 Ac 2.51-2.68

Output
**Electronic total energy**: -4.198 eV per atom
**Total magnetization**: 0.00 μB/cell
**ρ**: 8509 kg/m3
**SG**: C2/m


# Ac6Sn3H2

A relaxed Ac6Sn3H2 crystal (GGA-PBE, Alexandria).

a b c (Å): 5.1875 5.1875 13.9717
angles (deg): 100.70 100.70 90.00
Last column: nearest neighbours and their distance in Å.
Element x y z (fractional)
H1 0.6006 0.6006 0.2012  5 Ac 2.64-2.71
H2 0.3994 0.3994 0.7988  5 Ac 2.64-2.71
Sn1 0.8272 0.8272 0.6545  9 Ac 3.40-3.75
Sn2 0.0000 0.0000 0.0000  8 Ac 3.41
Sn3 0.1728 0.1728 0.3455  9 Ac 3.40-3.75
Ac1 0.9182 0.4182 0.8363  2 H 2.64
Ac2 0.0818 0.5818 0.1637  2 H 2.64
Ac3 0.4182 0.9182 0.8363  2 H 2.64
Ac4 0.5818 0.0818 0.1637  2 H 2.64
Ac5 0.7012 0.7012 0.4024  1 H 2.71
Ac6 0.2988 0.2988 0.5976  1 H 2.71

Output
**Electronic total energy**: -4.419 eV per atom
**Total magnetization**: 0.00 μB/cell
**ρ**: 7873 kg/m3
**SG**: I4/mmm